The following is a DFT calculation (PBE+U) of a relaxed VN2F crystal.

## Properties
Space-group type: Fm-3m
Energy above the most stable polymorph in this dataset: 3.30 eV/f.u.
Final energy: -5.346 eV per atom
Calculated volume: 8.515 Å³ per atom

Unit cell a=3.6385 b=3.6385 c=3.6385 alpha=60.00 beta=60.00 gamma=60.00
Fractional positions:
1 V 0.0000 0.0000 0.0000
2 N 0.2500 0.2500 0.2500
3 N 0.7500 0.7500 0.7500
4 F 0.5000 0.5000 0.5000